# YAl3Ag3 (PBE, optimized geometry)
# Formation enthalpy at 0 K   0.30 eV/atom
data_YAl3Ag3
_chemical_formula_sum 'Y2 Al6 Ag6'
_cell_length_a 6.969
_cell_length_b 6.969
_cell_length_c 6.969
_cell_angle_alpha 90.00
_cell_angle_beta 90.00
_cell_angle_gamma 90.00
_symmetry_space_group_name_H-M 'P 1'
_symmetry_Int_Tables_number 1
_symmetry_space_group_name_Hall 'P 1'
loop_
_atom_site_label
_atom_site_fract_x
_atom_site_fract_y
_atom_site_fract_z
Y1 0.000 0.000 0.000
Y2 0.500 0.500 0.500
Al1 0.000 0.250 0.500
Al2 0.000 0.750 0.500
Al3 0.250 0.500 0.000
Al4 0.500 0.000 0.250
Al5 0.500 0.000 0.750
Al6 0.750 0.500 0.000
Ag1 0.000 0.500 0.250
Ag2 0.000 0.500 0.750
Ag3 0.250 0.000 0.500
Ag4 0.500 0.250 0.000
Ag5 0.500 0.750 0.000
Ag6 0.750 0.000 0.500